(1)
The following is a PBE-GGA calculation of Na3CdAu after structural relaxation, from the Alexandria database.

Calculated values
- Spin magnetization: 0.0 μB/f.u.
- SG: No. 2
- Crystal system: triclinic
- ΔE to the lowest computed polymorph: 0 meV per atom
- ΔH_f (0 K): -0.180 eV per atom

abc: 8.5642 5.6509 7.8919
angles: 105.95 125.03 101.79
Sites, in units of the cell vectors:
Na: 0.8979 0.8668 0.2190
Na: 0.7517 0.4969 0.6620
Na: 0.6465 0.3180 0.1754
Na: 0.2483 0.5031 0.3380
Na: 0.3535 0.6820 0.8246
Na: 0.1021 0.1332 0.7810
Cd: 0.7363 0.0596 0.8261
Cd: 0.2637 0.9404 0.1739
Au: 0.3710 0.1498 0.6326
Au: 0.6290 0.8502 0.3674

***

(2)
The following is a PBE-GGA calculation of NaCd2Au2 after structural relaxation, from the Alexandria database.

Calculated values
- Spin magnetization: 0.0 μB/f.u.
- SG: No. 127
- Crystal system: tetragonal
- ΔE to the lowest computed polymorph: 5 meV per atom
- ΔH_f (0 K): -0.243 eV per atom

abc: 8.1251 8.1251 3.2376
angles: 90.00 90.00 90.00
Sites, in units of the cell vectors:
Na: 0.0000 0.0000 0.0000
Na: 0.5000 0.5000 0.0000
Au: 0.6385 0.1385 0.0000
Au: 0.1385 0.3615 0.0000
Au: 0.3615 0.8615 0.0000
Au: 0.8615 0.6385 0.0000
Cd: 0.8405 0.3405 0.5000
Cd: 0.1595 0.6595 0.5000
Cd: 0.6595 0.8405 0.5000
Cd: 0.3405 0.1595 0.5000